Entry from the Alexandria database: Ce3Si4Tc after structural relaxation (PBE-GGA).

```
Ce3Si4Tc
1.0
-2.200 3.069 6.658
2.200 -3.069 6.658
2.200 3.069 -6.658
Ce Si Tc
3 4 1
Cartesian
0.000 0.000 0.000 Ce
2.200 0.000 4.358 Ce
0.000 3.069 2.300 Ce
2.200 1.201 -1.612 Si
2.200 1.201 1.612 Si
0.000 1.868 5.046 Si
0.000 1.868 8.270 Si
0.000 0.000 6.658 Tc
```

Raw formation energy in eV per atom: -0.46
Space group: Immm
Total moment in μB/f.u.: 0.069